Compound: GdTaN2O
Source: OQMD
Functional: PBE-GGA
Structure: optimized geometry

Uncorrected energy   -9.50 eV per atom
Spin magnetization   0.00 Bohr magnetons per cell

a b c (Å): 5.459 5.545 5.917
angles (deg): 91.71 116.26 119.24
Sites, in units of the cell vectors:
Gd (0.718, 0.364, 0.099)
Gd (0.257, 0.634, 0.899)
N (0.228, 0.428, 0.246)
N (0.468, 0.019, 0.275)
N (0.750, 0.556, 0.725)
N (0.171, 0.188, 0.734)
O (0.833, 0.799, 0.268)
O (0.552, 0.971, 0.754)
Ta (0.313, 0.183, 0.443)
Ta (0.711, 0.860, 0.556)